The following is a DFT calculation (PBE with a Hubbard U) of a relaxed BaLaMo2O8 crystal.

Unit cell a=6.072 b=6.072 c=7.790 alpha=90.00 beta=90.00 gamma=120.00
Fractional positions:
Ba 0.000 0.000 0.000
La 0.000 0.000 0.500
Mo 0.333 0.667 0.785
Mo 0.667 0.333 0.215
O 0.167 0.334 0.711
O 0.167 0.833 0.711
O 0.333 0.667 0.014
O 0.334 0.167 0.289
O 0.666 0.833 0.711
O 0.667 0.333 0.986
O 0.833 0.167 0.289
O 0.833 0.666 0.289

Summary:
The total DFT energy (no corrections) is -87.56 eV per cell.